SrMg2Zn3 | PBE-GGA | relaxed

Output
Calculated formation energy ... -15 kJ/mol of atoms
Symmetry ... No. 63
D(E_F) ... 0.3117 states/eV/atom

Cell and atoms, written as POSCAR:
```
SrMg2Zn3
1.0
5.366 -4.185 0.000
5.366 4.185 0.000
0.000 0.000 6.139
Sr Mg Zn
2 4 6
direct
0.175 0.825 0.750
0.825 0.175 0.250
0.290 0.290 0.000
0.290 0.290 0.500
0.710 0.710 0.000
0.710 0.710 0.500
0.054 0.646 0.250
0.354 0.946 0.250
0.433 0.567 0.250
0.567 0.433 0.750
0.646 0.054 0.750
0.946 0.354 0.750
```